[1]
Mn3AlH | PBE-GGA | relaxed

The structure in POSCAR format:
```
Mn3AlH
1.0
5.815 -1.947 0.000
5.815 1.947 0.000
-1.926 0.000 4.451
Mn Al H
6 2 2
direct
0.059 0.059 0.352
0.276 0.276 0.647
0.392 0.392 0.343
0.608 0.608 0.657
0.724 0.724 0.353
0.941 0.941 0.648
0.165 0.165 0.002
0.835 0.835 0.998
0.455 0.455 0.730
0.545 0.545 0.270
```

Calculated values
Crystal system ... monoclinic
E_tot ... -6.944 eV/atom
Total magnetization ... 0.0 μB/f.u.
Calculated volume ... 10.1 Å³/atom

[2]
RbNaCd2Sn | PBE-GGA | relaxed

The structure in POSCAR format:
```
RbNaCd2Sn
1.0
5.819 0.000 0.000
0.000 5.819 0.000
0.000 0.000 5.935
Rb Na Cd Sn
1 1 2 1
direct
0.000 0.000 0.000
0.500 0.500 0.000
0.000 0.500 0.500
0.500 0.000 0.500
0.500 0.500 0.500
```

Calculated values
Crystal system ... tetragonal
E_tot ... -1.590 eV/atom
Total magnetization ... 0.0 μB/f.u.
Calculated volume ... 40.2 Å³/atom
Energy of formation from the pure elements ... 16 kJ/mol of formula units

[3]
Tb2Er5Tm5 | PBE-GGA | relaxed

The structure in POSCAR format:
```
Tb2Er5Tm5
1.0
7.423 -2.473 0.000
7.423 2.473 0.000
-4.950 0.000 9.908
Tb Er Tm
2 5 5
direct
0.083 0.083 0.249
0.917 0.917 0.751
0.334 0.334 0.500
0.416 0.416 0.250
0.500 0.500 0.000
0.584 0.584 0.750
0.666 0.666 0.500
0.000 0.000 0.500
0.167 0.167 0.000
0.250 0.250 0.750
0.750 0.750 0.250
0.833 0.833 0.000
```

Calculated values
Crystal system ... monoclinic
E_tot ... -4.512 eV/atom
Total magnetization ... 0.0 μB/f.u.
Calculated volume ... 30.3 Å³/atom
Energy of formation from the pure elements ... 28 kJ/mol of formula units

[4]
CeTi5 | PBE-GGA | relaxed

The structure in POSCAR format:
```
CeTi5
1.0
2.081 -6.388 0.000
2.081 6.388 0.000
0.000 0.000 4.210
Ce Ti
1 5
direct
0.000 0.000 0.000
0.172 0.828 0.500
0.327 0.673 0.000
0.500 0.500 0.500
0.673 0.327 0.000
0.828 0.172 0.500
```

Calculated values
Crystal system ... orthorhombic
E_tot ... -7.442 eV/atom
Total magnetization ... 0.0 μB/f.u.
Calculated volume ... 18.7 Å³/atom
Energy of formation from the pure elements ... 73 kJ/mol of formula units

[5]
OF | PBE-GGA | relaxed

The structure in POSCAR format:
```
OF
1.0
-3.375 3.375 3.375
3.375 -3.375 3.375
3.375 3.375 -3.375
O F
4 4
direct
0.000 0.000 0.769
0.000 0.769 0.000
0.231 0.231 0.231
0.769 0.000 0.000
0.000 0.000 0.532
0.000 0.532 0.000
0.468 0.468 0.468
0.532 0.000 0.000
```

Calculated values
Crystal system ... cubic
E_tot ... -2.901 eV/atom
Total magnetization ... 0.5 μB/f.u.
Calculated volume ... 19.2 Å³/atom
Polymorph energy (0 for the lowest one) ... 659 meV per atom
ΔE_f (raw) ... 513 meV per atom

[6]
Tm4MgSc5 | PBE-GGA | relaxed

The structure in POSCAR format:
```
Tm4MgSc5
1.0
-5.049 5.049 2.695
5.049 -5.049 2.695
5.049 5.049 -2.695
Tm Mg Sc
4 1 5
direct
0.000 0.319 0.319
0.000 0.681 0.681
0.319 0.000 0.319
0.681 0.000 0.681
0.741 0.741 0.000
0.225 0.225 0.000
0.312 0.312 0.628
0.312 0.684 0.000
0.684 0.312 0.000
0.684 0.684 0.372
```

Calculated values
Crystal system ... tetragonal
E_tot ... -4.914 eV/atom
Total magnetization ... 0.0 μB/f.u.
Calculated volume ... 27.5 Å³/atom
Energy of formation from the pure elements ... 193 kJ/mol of formula units
Polymorph energy (0 for the lowest one) ... 167 meV per atom

[7]
HoTiRh4 | PBE-GGA | relaxed

The structure in POSCAR format:
```
HoTiRh4
1.0
0.000 3.688 3.688
3.688 0.000 3.688
3.688 3.688 0.000
Ho Ti Rh
1 1 4
direct
0.000 0.000 0.000
0.750 0.750 0.750
0.375 0.375 0.375
0.375 0.375 0.874
0.375 0.874 0.375
0.874 0.375 0.375
```

Calculated values
Crystal system ... cubic
E_tot ... -7.499 eV/atom
Total magnetization ... 0.0 μB/f.u.
Calculated volume ... 16.7 Å³/atom
Energy of formation from the pure elements ... -301 kJ/mol of formula units

[8]
Nb2RePd | PBE-GGA | relaxed

The structure in POSCAR format:
```
Nb2RePd
1.0
-1.338 2.563 5.164
1.338 -2.563 5.164
1.338 2.563 -5.164
Nb Re Pd
2 1 1
direct
0.249 0.249 0.000
0.751 0.751 0.000
0.500 0.500 0.000
0.000 0.000 0.000
```

Calculated values
Crystal system ... orthorhombic
E_tot ... -8.884 eV/atom
Total magnetization ... 0.0 μB/f.u.
Calculated volume ... 17.7 Å³/atom
Energy of formation from the pure elements ... 217 kJ/mol of formula units

[9]
Pm2Ho2In | PBE-GGA | relaxed

The structure in POSCAR format:
```
Pm2Ho2In
1.0
-2.184 2.184 8.691
2.184 -2.184 8.691
2.184 2.184 -8.691
Pm Ho In
2 2 1
direct
0.250 0.750 0.500
0.750 0.250 0.500
0.087 0.087 0.000
0.913 0.913 0.000
0.500 0.500 0.000
```

Calculated values
Crystal system ... tetragonal
E_tot ... -3.960 eV/atom
Total magnetization ... 0.0 μB/f.u.
Calculated volume ... 33.2 Å³/atom
Energy of formation from the pure elements ... 154 kJ/mol of formula units
Polymorph energy (0 for the lowest one) ... 363 meV per atom

[10]
Pm2PrEr3 | PBE-GGA | relaxed

The structure in POSCAR format:
```
Pm2PrEr3
1.0
4.761 -6.603 0.000
4.761 6.603 0.000
0.000 0.000 6.389
Pm Pr Er
4 2 6
direct
0.124 0.238 0.000
0.238 0.124 0.500
0.762 0.876 0.000
0.876 0.762 0.500
0.325 0.675 0.275
0.675 0.325 0.775
0.015 0.622 0.952
0.378 0.985 0.952
0.417 0.583 0.751
0.583 0.417 0.251
0.622 0.015 0.452
0.985 0.378 0.452
```

Calculated values
Crystal system ... orthorhombic
E_tot ... -4.449 eV/atom
Total magnetization ... 0.0 μB/f.u.
Calculated volume ... 33.5 Å³/atom
Energy of formation from the pure elements ... 123 kJ/mol of formula units
Polymorph energy (0 for the lowest one) ... 145 meV per atom

[11]
NpCo4B4 | PBE-GGA | relaxed

The structure in POSCAR format:
```
NpCo4B4
1.0
6.951 0.000 0.000
0.000 6.951 0.000
0.000 0.000 3.810
Np Co B
2 8 8
direct
0.250 0.250 0.250
0.750 0.750 0.750
0.109 0.630 0.141
0.130 0.891 0.641
0.370 0.609 0.641
0.391 0.870 0.141
0.609 0.130 0.859
0.630 0.391 0.359
0.870 0.109 0.359
0.891 0.370 0.859
0.047 0.911 0.144
0.089 0.547 0.644
0.411 0.953 0.644
0.453 0.589 0.144
0.547 0.411 0.856
0.589 0.047 0.356
0.911 0.453 0.356
0.953 0.089 0.856
```

Calculated values
Crystal system ... tetragonal
E_tot ... -7.900 eV/atom
Total magnetization ... 3.8 μB/f.u.
Calculated volume ... 10.2 Å³/atom
Energy of formation from the pure elements ... -292 kJ/mol of formula units
Polymorph energy (0 for the lowest one) ... 4 meV per atom

[12]
PmDy4Tm3 | PBE-GGA | relaxed

The structure in POSCAR format:
```
PmDy4Tm3
1.0
12.958 -2.805 0.000
12.958 2.805 0.000
-0.003 0.000 3.544
Pm Dy Tm
1 4 3
direct
0.000 0.000 0.000
0.105 0.105 0.500
0.224 0.224 0.499
0.776 0.776 0.501
0.895 0.895 0.500
0.344 0.344 0.000
0.500 0.500 0.500
0.656 0.656 0.000
```

Calculated values
Crystal system ... monoclinic
E_tot ... -4.344 eV/atom
Total magnetization ... 0.0 μB/f.u.
Calculated volume ... 32.2 Å³/atom
Energy of formation from the pure elements ... 176 kJ/mol of formula units
Polymorph energy (0 for the lowest one) ... 222 meV per atom

[13]
La3ZnN | PBE-GGA | relaxed

The structure in POSCAR format:
```
La3ZnN
1.0
2.720 -2.720 0.000
2.720 2.720 0.000
0.000 0.000 16.661
La Zn N
6 2 2
direct
0.001 0.999 0.606
0.001 0.999 0.894
0.498 0.502 0.250
0.502 0.498 0.750
0.999 0.001 0.106
0.999 0.001 0.394
0.500 0.500 0.000
0.500 0.500 0.500
0.001 0.999 0.750
0.999 0.001 0.250
```

Calculated values
Crystal system ... orthorhombic
E_tot ... -5.555 eV/atom
Total magnetization ... 0.0 μB/f.u.
Calculated volume ... 24.7 Å³/atom
Polymorph energy (0 for the lowest one) ... 18 meV per atom
ΔE_f (raw) ... -678 meV per atom

[14]
TbTh6Sc | PBE-GGA | relaxed

The structure in POSCAR format:
```
TbTh6Sc
1.0
5.009 0.000 0.000
0.000 5.009 0.000
0.000 0.000 10.017
Tb Th Sc
1 6 1
direct
0.000 0.000 0.000
0.000 0.500 0.255
0.000 0.500 0.745
0.500 0.000 0.255
0.500 0.000 0.745
0.500 0.500 0.000
0.500 0.500 0.500
0.000 0.000 0.500
```

Calculated values
Crystal system ... tetragonal
E_tot ... -6.872 eV/atom
Total magnetization ... 0.0 μB/f.u.
Calculated volume ... 31.4 Å³/atom
Energy of formation from the pure elements ... 48 kJ/mol of formula units

[15]
Mg5Si6 | PBE-GGA | relaxed

The structure in POSCAR format:
```
Mg5Si6
1.0
5.393 0.000 0.000
-0.112 5.475 0.000
-2.046 -2.570 13.597
Mg Si
10 12
direct
0.000 0.000 0.000
0.025 0.552 0.126
0.077 0.980 0.610
0.180 0.589 0.767
0.333 0.406 0.480
0.442 0.129 0.863
0.479 0.672 0.001
0.569 0.563 0.240
0.601 0.252 0.673
0.762 0.139 0.382
0.124 0.310 0.288
0.124 0.774 0.340
0.346 0.000 0.189
0.459 0.913 0.480
0.517 0.211 0.065
0.592 0.738 0.642
0.692 0.685 0.827
0.794 0.652 0.431
0.811 0.011 0.179
0.925 0.466 0.577
0.929 0.058 0.804
0.983 0.457 0.926
```

Calculated values
Crystal system ... triclinic
E_tot ... -3.603 eV/atom
Total magnetization ... 0.0 μB/f.u.
Calculated volume ... 18.2 Å³/atom
Polymorph energy (0 for the lowest one) ... 55 meV per atom
ΔE_f (raw) ... 80 meV per atom

[16]
Li2BeSb | PBE-GGA | relaxed

The structure in POSCAR format:
```
Li2BeSb
1.0
1.625 0.938 8.780
-1.625 0.938 8.780
0.000 -1.876 8.780
Li Be Sb
2 1 1
direct
0.000 0.000 0.000
0.234 0.234 0.234
0.493 0.493 0.493
0.756 0.756 0.756
```

Calculated values
Crystal system ... trigonal
E_tot ... -2.659 eV/atom
Total magnetization ... 0.0 μB/f.u.
Calculated volume ... 20.1 Å³/atom
Polymorph energy (0 for the lowest one) ... 391 meV per atom
ΔE_f (raw) ... 260 meV per atom

[17]
SrZrRu2 | PBE-GGA | relaxed

The structure in POSCAR format:
```
SrZrRu2
1.0
3.436 0.000 0.000
0.000 3.436 0.000
0.000 0.000 7.900
Sr Zr Ru
1 1 2
direct
0.000 0.000 0.000
0.500 0.500 0.389
0.000 0.000 0.572
0.500 0.500 0.704
```

Calculated values
Crystal system ... tetragonal
E_tot ... -6.871 eV/atom
Total magnetization ... 1.4 μB/f.u.
Calculated volume ... 23.3 Å³/atom
Energy of formation from the pure elements ... 125 kJ/mol of formula units

[18]
ScAs2Os | PBE-GGA | relaxed

The structure in POSCAR format:
```
ScAs2Os
1.0
3.346 0.000 0.000
0.000 4.067 0.000
-0.283 0.000 5.193
Sc As Os
1 2 1
direct
0.000 0.000 0.000
0.378 0.500 0.755
0.622 0.500 0.245
0.500 0.000 0.500
```

Calculated values
Crystal system ... monoclinic
E_tot ... -7.015 eV/atom
Total magnetization ... 0.0 μB/f.u.
Calculated volume ... 17.7 Å³/atom
Energy of formation from the pure elements ... -116 kJ/mol of formula units
Polymorph energy (0 for the lowest one) ... 116 meV per atom

[19]
YZrRe2 | PBE-GGA | relaxed

The structure in POSCAR format:
```
YZrRe2
1.0
3.303 0.000 0.000
0.000 4.639 0.000
0.000 0.000 4.864
Y Zr Re
1 1 2
direct
0.000 0.000 0.000
0.500 0.000 0.500
0.000 0.500 0.500
0.500 0.500 0.000
```

Calculated values
Crystal system ... orthorhombic
E_tot ... -9.670 eV/atom
Total magnetization ... 0.0 μB/f.u.
Calculated volume ... 18.6 Å³/atom
Energy of formation from the pure elements ... 119 kJ/mol of formula units
Polymorph energy (0 for the lowest one) ... 302 meV per atom

[20]
CeDy4Y | PBE-GGA | relaxed

The structure in POSCAR format:
```
CeDy4Y
1.0
8.613 -1.785 0.000
8.613 1.785 0.000
-0.735 0.000 6.143
Ce Dy Y
1 4 1
direct
0.000 0.000 0.000
0.168 0.168 0.386
0.334 0.334 0.110
0.666 0.666 0.890
0.832 0.832 0.614
0.500 0.500 0.500
```

Calculated values
Crystal system ... monoclinic
E_tot ... -5.106 eV/atom
Total magnetization ... 0.9 μB/f.u.
Calculated volume ... 31.5 Å³/atom
Energy of formation from the pure elements ... 17 kJ/mol of formula units
Polymorph energy (0 for the lowest one) ... 0 meV per atom

[21]
NaTmCl4 | PBE-GGA | relaxed

The structure in POSCAR format:
```
NaTmCl4
1.0
6.476 0.000 0.000
0.000 3.980 0.000
-0.308 0.000 7.240
Na Tm Cl
1 1 4
direct
0.000 0.000 0.000
0.000 0.500 0.500
0.204 0.500 0.204
0.228 0.000 0.643
0.772 0.000 0.357
0.796 0.500 0.796
```

Calculated values
Crystal system ... monoclinic
E_tot ... -4.310 eV/atom
Total magnetization ... 0.0 μB/f.u.
Calculated volume ... 31.1 Å³/atom
Polymorph energy (0 for the lowest one) ... 14 meV per atom
ΔE_f (raw) ... -2114 meV per atom

[22]
CsTcAs2W | PBE-GGA | relaxed

The structure in POSCAR format:
```
CsTcAs2W
1.0
4.882 0.000 0.000
0.000 4.882 0.000
0.000 0.000 5.626
Cs Tc As W
1 1 2 1
direct
0.000 0.000 0.000
0.000 0.000 0.500
0.000 0.500 0.500
0.500 0.000 0.500
0.500 0.500 0.000
```

Calculated values
Crystal system ... tetragonal
E_tot ... -5.052 eV/atom
Total magnetization ... 4.5 μB/f.u.
Calculated volume ... 26.8 Å³/atom
Energy of formation from the pure elements ... 792 kJ/mol of formula units

[23]
CaOsRu | PBE-GGA | relaxed

The structure in POSCAR format:
```
CaOsRu
1.0
7.210 0.000 0.000
0.000 4.376 0.000
0.000 0.000 7.324
Ca Os Ru
4 4 4
direct
0.001 0.250 0.177
0.499 0.750 0.677
0.501 0.250 0.323
0.999 0.750 0.823
0.167 0.250 0.589
0.333 0.750 0.089
0.667 0.250 0.911
0.833 0.750 0.411
0.168 0.750 0.410
0.332 0.250 0.910
0.668 0.750 0.090
0.832 0.250 0.590
```

Calculated values
Crystal system ... orthorhombic
E_tot ... -7.384 eV/atom
Total magnetization ... 0.0 μB/f.u.
Calculated volume ... 19.3 Å³/atom
Energy of formation from the pure elements ... 34 kJ/mol of formula units
Polymorph energy (0 for the lowest one) ... 28 meV per atom